Compound: LaPrY3Sc
Source: Alexandria
Functional: PBE
Structure: relaxed

Its size of the total moment is 0.000 μB/atom. The density of states at the Fermi level is 20.584 states/eV/cell. Its formation energy is 0.05 eV per atom.

a = 7.999 Å, b = 7.999 Å, c = 10.128 Å
α = 90.00°, β = 90.00°, γ = 143.14°
Sites, in units of the cell vectors:
La1 0.003 0.997 0.750
La2 0.997 0.003 0.250
Pr1 0.500 0.500 0.000
Pr2 0.500 0.500 0.500
Y1 0.169 0.831 0.501
Y2 0.169 0.831 0.999
Y3 0.329 0.671 0.750
Y4 0.671 0.329 0.250
Y5 0.831 0.169 0.001
Y6 0.831 0.169 0.499
Sc1 0.330 0.670 0.250
Sc2 0.670 0.330 0.750

***

Compound: La3PrY6Sc2
Source: Alexandria
Functional: PBE
Structure: relaxed

Its size of the total moment is 0.000 μB/atom. The density of states at the Fermi level is 17.578 states/eV/cell. Its formation energy is 0.04 eV per atom.

a = 6.189 Å, b = 6.189 Å, c = 11.840 Å
α = 94.99°, β = 94.99°, γ = 120.01°
Sites, in units of the cell vectors:
La1 0.000 0.000 0.000
La2 0.333 0.667 0.000
La3 0.667 0.333 0.000
Pr1 0.500 0.500 0.500
Y1 0.082 0.419 0.259
Y2 0.244 0.244 0.742
Y3 0.419 0.082 0.259
Y4 0.581 0.918 0.741
Y5 0.756 0.756 0.258
Y6 0.918 0.581 0.741
Sc1 0.167 0.833 0.500
Sc2 0.833 0.167 0.500

***

Compound: La2Pr3Y6Sc
Source: Alexandria
Functional: PBE
Structure: relaxed

Its size of the total moment is 0.000 μB/atom. The density of states at the Fermi level is 15.345 states/eV/cell. Its formation energy is 0.02 eV per atom.

a = 6.258 Å, b = 6.258 Å, c = 11.917 Å
α = 95.01°, β = 95.01°, γ = 120.00°
Sites, in units of the cell vectors:
La1 0.166 0.834 0.000
La2 0.834 0.166 0.000
Pr1 0.000 0.000 0.500
Pr2 0.333 0.667 0.500
Pr3 0.667 0.333 0.500
Y1 0.088 0.418 0.752
Y2 0.252 0.252 0.248
Y3 0.418 0.088 0.752
Y4 0.582 0.912 0.248
Y5 0.748 0.748 0.752
Y6 0.912 0.582 0.248
Sc1 0.500 0.500 0.000

***

Compound: LaPr2Y4Sc
Source: Alexandria
Functional: PBE
Structure: relaxed

Its size of the total moment is 0.003 μB/atom. The density of states at the Fermi level is 17.277 states/eV/cell. Its formation energy is 0.12 eV per atom.

a = 5.862 Å, b = 5.862 Å, c = 7.678 Å
α = 90.00°, β = 90.00°, γ = 90.00°
Sites, in units of the cell vectors:
La1 0.000 0.000 0.000
Pr1 0.000 0.000 0.500
Pr2 0.500 0.500 0.000
Y1 0.000 0.500 0.262
Y2 0.000 0.500 0.738
Y3 0.500 0.000 0.262
Y4 0.500 0.000 0.738
Sc1 0.500 0.500 0.500

***

Compound: La5Pr2YSc
Source: Alexandria
Functional: PBE
Structure: relaxed

Its size of the total moment is 0.000 μB/atom. The density of states at the Fermi level is 25.718 states/eV/cell. Its formation energy is 0.11 eV per atom.

a = 11.449 Å, b = 11.449 Å, c = 10.405 Å
α = 90.00°, β = 90.00°, γ = 152.07°
Sites, in units of the cell vectors:
La1 0.000 0.000 0.000
La2 0.000 0.000 0.500
La3 0.130 0.870 0.750
La4 0.223 0.777 0.439
La5 0.224 0.776 0.062
La6 0.499 0.501 0.750
La7 0.501 0.499 0.250
La8 0.776 0.224 0.562
La9 0.777 0.223 0.939
La10 0.870 0.130 0.250
Pr1 0.384 0.616 0.494
Pr2 0.385 0.615 0.005
Pr3 0.615 0.385 0.505
Pr4 0.616 0.384 0.994
Y1 0.103 0.897 0.250
Y2 0.897 0.103 0.750
Sc1 0.294 0.706 0.750
Sc2 0.706 0.294 0.250

***

Compound: La2Pr6Y3Sc
Source: Alexandria
Functional: PBE
Structure: relaxed

Its size of the total moment is 0.000 μB/atom. The density of states at the Fermi level is 16.772 states/eV/cell. Its formation energy is 0.03 eV per atom.

a = 6.328 Å, b = 6.328 Å, c = 12.021 Å
α = 95.06°, β = 95.06°, γ = 120.02°
Sites, in units of the cell vectors:
La1 0.167 0.833 0.000
La2 0.833 0.167 0.000
Pr1 0.088 0.417 0.749
Pr2 0.253 0.253 0.252
Pr3 0.417 0.088 0.749
Pr4 0.583 0.912 0.251
Pr5 0.747 0.747 0.748
Pr6 0.912 0.583 0.251
Y1 0.000 0.000 0.500
Y2 0.334 0.666 0.500
Y3 0.666 0.334 0.500
Sc1 0.500 0.500 0.000

***

Compound: La4PrY2Sc
Source: Alexandria
Functional: PBE
Structure: relaxed

Its size of the total moment is 0.000 μB/atom. The density of states at the Fermi level is 11.924 states/eV/cell. Its formation energy is 0.03 eV per atom.

a = 5.169 Å, b = 5.186 Å, c = 10.127 Å
α = 90.00°, β = 90.05°, γ = 90.00°
Sites, in units of the cell vectors:
La1 0.000 0.000 0.246
La2 0.000 0.000 0.754
La3 0.500 0.500 0.247
La4 0.500 0.500 0.753
Pr1 0.000 0.500 0.000
Y1 0.000 0.500 0.500
Y2 0.500 0.000 0.500
Sc1 0.500 0.000 0.000

***

Compound: LaPrZrSc
Source: Alexandria
Functional: PBE
Structure: relaxed

Its size of the total moment is 0.006 μB/atom. The density of states at the Fermi level is 24.398 states/eV/cell. Its formation energy is 0.18 eV per atom.

a = 7.738 Å, b = 7.738 Å, c = 7.738 Å
α = 90.00°, β = 90.00°, γ = 90.00°
Sites, in units of the cell vectors:
La1 0.000 0.000 0.000
La2 0.000 0.500 0.500
La3 0.500 0.000 0.500
La4 0.500 0.500 0.000
Pr1 0.000 0.000 0.500
Pr2 0.000 0.500 0.000
Pr3 0.500 0.000 0.000
Pr4 0.500 0.500 0.500
Zr1 0.250 0.250 0.250
Zr2 0.250 0.750 0.750
Zr3 0.750 0.250 0.750
Zr4 0.750 0.750 0.250
Sc1 0.250 0.250 0.750
Sc2 0.250 0.750 0.250
Sc3 0.750 0.250 0.250
Sc4 0.750 0.750 0.750

***

Compound: La5PrSe8
Source: Alexandria
Functional: PBE
Structure: relaxed

Its size of the total moment is 0.000 μB/atom. The density of states at the Fermi level is 11.252 states/eV/cell. For the formation energy (no corrections), the calculation gives -1.998 eV/atom.

a = 7.864 Å, b = 7.864 Å, c = 7.864 Å
α = 109.24°, β = 109.24°, γ = 109.94°
Sites, in units of the cell vectors:
La1 0.000 0.000 0.000
La2 0.243 0.625 0.119
La3 0.375 0.494 0.619
La4 0.506 0.125 0.881
La5 0.875 0.757 0.381
Pr1 0.750 0.250 0.500
Se1 0.124 0.723 0.748
Se2 0.126 0.227 0.752
Se3 0.277 0.025 0.401
Se4 0.474 0.373 0.248
Se5 0.624 0.876 0.599
Se6 0.627 0.874 0.101
Se7 0.773 0.526 0.899
Se8 0.975 0.376 0.252

***

Compound: La3Pr4Se8
Source: Alexandria
Functional: PBE
Structure: relaxed

Its size of the total moment is 0.000 μB/atom. The density of states at the Fermi level is 7.994 states/eV/cell. For the formation energy (no corrections), the calculation gives -1.935 eV/atom.

a = 8.554 Å, b = 8.554 Å, c = 8.527 Å
α = 119.89°, β = 119.89°, γ = 90.01°
Sites, in units of the cell vectors:
La1 0.000 0.000 0.000
La2 0.000 0.500 0.000
La3 0.500 0.000 0.000
Pr1 0.000 0.500 0.500
Pr2 0.500 0.000 0.500
Pr3 0.500 0.500 0.000
Pr4 0.500 0.500 0.500
Se1 0.249 0.249 0.501
Se2 0.249 0.751 0.500
Se3 0.250 0.250 0.999
Se4 0.250 0.750 0.000
Se5 0.750 0.250 0.000
Se6 0.750 0.750 0.001
Se7 0.751 0.249 0.500
Se8 0.751 0.751 0.499

***

Compound: La3Pr2Se4
Source: Alexandria
Functional: PBE
Structure: relaxed

Its size of the total moment is 0.000 μB/atom. The density of states at the Fermi level is 7.446 states/eV/cell. For the formation energy (no corrections), the calculation gives -1.686 eV/atom.

a = 7.389 Å, b = 7.389 Å, c = 10.413 Å
α = 118.58°, β = 118.58°, γ = 33.62°
Sites, in units of the cell vectors:
La1 0.000 0.000 0.000
La2 0.197 0.197 0.790
La3 0.803 0.803 0.210
Pr1 0.400 0.400 0.602
Pr2 0.600 0.600 0.398
Se1 0.200 0.200 0.305
Se2 0.396 0.396 0.097
Se3 0.604 0.604 0.903
Se4 0.800 0.800 0.695